# 1
An optimized crystal structure of Na2Li2Bi. Source: Alexandria via LeMat-Bulk, functional PBE.

Cell: 8.2218 8.2218 3.9018 Å, 90.00 90.00 90.00°
Closest atoms and distances in Å follow each position.
Atoms (fractional coordinates):
1 Bi 0.0000 0.0000 0.0000  4 Na 3.21
2 Na 0.8676 0.6324 0.0000  6 Li 2.98-3.20, 1 Na 3.08, 2 Bi 3.21
3 Na 0.3676 0.8676 0.0000  6 Li 2.98-3.20, 1 Na 3.08, 2 Bi 3.21
4 Li 0.3262 0.1738 0.5000  6 Na 2.98-3.20
5 Li 0.1738 0.6738 0.5000  6 Na 2.98-3.20
6 Na 0.1324 0.3676 0.0000  6 Li 2.98-3.20, 1 Na 3.08, 2 Bi 3.21
7 Bi 0.5000 0.5000 0.0000  4 Na 3.21
8 Na 0.6324 0.1324 0.0000  6 Li 2.98-3.20, 1 Na 3.08, 2 Bi 3.21
9 Li 0.6738 0.8262 0.5000  6 Na 2.98-3.20
10 Li 0.8262 0.3262 0.5000  6 Na 2.98-3.20

Computed properties:
- ΔH_f (0 K) (eV/atom) = -0.06
- SG = P4/mbm
- density (g/cm3) = 3.4

# 2
An optimized crystal structure of NaLi4Bi4. Source: Alexandria via LeMat-Bulk, functional PBE.

Cell: 5.7717 9.5121 9.5121 Å, 90.00 90.00 90.00°
Closest atoms and distances in Å follow each position.
Atoms (fractional coordinates):
1 Bi 0.3841 0.6393 0.8339  5 Li 2.87-3.00, 1 Bi 3.06
2 Na 0.5000 0.5000 0.5000  4 Bi 3.51, 4 Li 3.89
3 Li 0.1180 0.8254 0.3622  5 Bi 2.87-3.00, 1 Li 2.99
4 Bi 0.8841 0.3339 0.8607  5 Li 2.87-3.00, 1 Bi 3.06
5 Li 0.8820 0.6378 0.8254  5 Bi 2.87-3.00, 1 Li 2.99
6 Li 0.6180 0.8622 0.6746  5 Bi 2.87-3.00, 1 Li 2.99
7 Bi 0.1159 0.8607 0.6661  5 Li 2.87-3.00, 1 Bi 3.06
8 Na 0.0000 0.0000 0.0000  4 Bi 3.51, 4 Li 3.89
9 Bi 0.8841 0.6661 0.1393  5 Li 2.87-3.00, 1 Bi 3.06
10 Bi 0.6159 0.8339 0.3607  5 Li 2.87-3.00, 1 Bi 3.06
11 Li 0.8820 0.3622 0.1746  5 Bi 2.87-3.00, 1 Li 2.99
12 Li 0.6180 0.1378 0.3254  5 Bi 2.87-3.00, 1 Li 2.99
13 Li 0.3820 0.3254 0.8622  5 Bi 2.87-3.00, 1 Li 2.99
14 Li 0.1180 0.1746 0.6378  5 Bi 2.87-3.00, 1 Li 2.99
15 Li 0.3820 0.6746 0.1378  5 Bi 2.87-3.00, 1 Li 2.99
16 Bi 0.6159 0.1661 0.6393  5 Li 2.87-3.00, 1 Bi 3.06
17 Bi 0.1159 0.1393 0.3339  5 Li 2.87-3.00, 1 Bi 3.06
18 Bi 0.3841 0.3607 0.1661  5 Li 2.87-3.00, 1 Bi 3.06

Computed properties:
- ΔH_f (0 K) (eV/atom) = -0.22
- SG = P4_2/n
- density (g/cm3) = 5.6

# 3
An optimized crystal structure of NaLiBi2. Source: Alexandria via LeMat-Bulk, functional PBE.

Cell: 4.9057 4.9057 10.7411 Å, 76.80 76.80 90.00°
Closest atoms and distances in Å follow each position.
Atoms (fractional coordinates):
1 Li 0.5000 0.5000 0.0000  4 Bi 2.99
2 Li 0.2500 0.7500 0.5000  4 Bi 2.99
3 Bi 0.5761 0.1250 0.2500  2 Li 2.99, 2 Bi 3.15, 2 Na 3.18
4 Bi 0.3750 0.4239 0.7500  2 Li 2.99, 2 Bi 3.15, 2 Na 3.18
5 Na 0.7500 0.2500 0.5000  4 Bi 3.18, 4 Li 3.47
6 Bi 0.8750 0.8261 0.7500  2 Li 2.99, 2 Bi 3.15, 2 Na 3.18
7 Na 0.0000 0.0000 0.0000  4 Bi 3.18, 4 Li 3.47
8 Bi 0.1739 0.6250 0.2500  2 Li 2.99, 2 Bi 3.15, 2 Na 3.18

Computed properties:
- ΔH_f (0 K) (eV/atom) = -0.22
- SG = I-42d
- density (g/cm3) = 6.1

# 4
An optimized crystal structure of NaLiBi2. Source: Alexandria via LeMat-Bulk, functional PBE.

Cell: 5.1355 5.1355 5.9533 Å, 64.45 64.45 60.00°
Closest atoms and distances in Å follow each position.
Atoms (fractional coordinates):
1 Bi 0.0576 0.0576 0.8271  3 Li 3.01, 1 Bi 3.17, 3 Na 3.33
2 Na 0.4886 0.4886 0.5341  1 Li 3.14, 7 Bi 3.33-3.50
3 Bi 0.2624 0.2624 0.2129  1 Bi 3.17, 3 Li 3.31, 4 Na 3.40-3.50
4 Li 0.6914 0.6914 0.9258  6 Bi 3.01-3.31, 1 Na 3.14

Computed properties:
- ΔH_f (0 K) (eV/atom) = -0.20
- SG = R3m
- density (g/cm3) = 6.3

# 5
An optimized crystal structure of Na3LiBi2. Source: Alexandria via LeMat-Bulk, functional PBE.

Cell: 6.1664 6.1314 10.0430 Å, 107.77 107.88 90.00°
Closest atoms and distances in Å follow each position.
Atoms (fractional coordinates):
1 Bi 0.9666 0.6247 0.2493  2 Li 2.90
2 Na 0.5252 0.6908 0.3817  5 Bi 3.26-3.47
3 Bi 0.2827 0.1247 0.2493  2 Li 2.90
4 Na 0.1436 0.8092 0.6183  5 Bi 3.26-3.47
5 Li 0.0000 0.2500 0.0000  4 Bi 2.90, 2 Li 3.07, 2 Na 3.08
6 Bi 0.7173 0.8753 0.7507  2 Li 2.90
7 Na 0.8564 0.1908 0.3817  5 Bi 3.26-3.47
8 Li 0.0000 0.7500 0.0000  4 Bi 2.90, 2 Li 3.07, 2 Na 3.08
9 Na 0.5000 0.2500 0.0000  2 Na 3.07, 2 Li 3.08
10 Na 0.5000 0.7500 0.0000  2 Na 3.07, 2 Li 3.08
11 Bi 0.0334 0.3753 0.7507  2 Li 2.90
12 Na 0.4748 0.3092 0.6183  5 Bi 3.26-3.47

Computed properties:
- ΔH_f (0 K) (eV/atom) = -0.32
- SG = Ibam
- density (g/cm3) = 4.8

# 6
An optimized crystal structure of NaLi2Bi. Source: Alexandria via LeMat-Bulk, functional PBE.

Cell: 4.8631 4.8631 5.9484 Å, 65.87 65.87 60.00°
Closest atoms and distances in Å follow each position.
Atoms (fractional coordinates):
1 Bi 0.6938 0.6938 0.9187  6 Li 2.81-2.96
2 Li 0.3005 0.3005 0.0986  3 Li 2.91, 3 Bi 2.96, 1 Na 2.97
3 Li 0.0163 0.0163 0.9512  3 Bi 2.81, 3 Li 2.91
4 Na 0.4895 0.4895 0.5316  1 Li 2.97, 1 Bi 3.21

Computed properties:
- ΔH_f (0 K) (eV/atom) = -0.41
- SG = R3m
- density (g/cm3) = 3.8

# 7
An optimized crystal structure of NaLiBi4. Source: Alexandria via LeMat-Bulk, functional PBE.

Cell: 6.6533 6.6533 6.6533 Å, 60.00 60.00 60.00°
Closest atoms and distances in Å follow each position.
Atoms (fractional coordinates):
1 Bi 0.6251 0.6251 0.6251  6 Bi 3.33
2 Na 0.2500 0.2500 0.2500  12 Bi 3.90, 4 Li 4.07
3 Bi 0.6251 0.6251 0.1248  6 Bi 3.33
4 Bi 0.6251 0.1248 0.6251  6 Bi 3.33
5 Bi 0.1248 0.6251 0.6251  6 Bi 3.33
6 Li 0.0000 0.0000 0.0000  12 Bi 3.90, 4 Na 4.07

Computed properties:
- ΔH_f (0 K) (eV/atom) = -0.02
- SG = F-43m
- density (g/cm3) = 6.9

# 8
An optimized crystal structure of Na2Li2Bi3. Source: Alexandria via LeMat-Bulk, functional PBE.

Cell: 4.6829 6.3226 8.0890 Å, 115.63 90.00 111.74°
Closest atoms and distances in Å follow each position.
Atoms (fractional coordinates):
1 Na 0.8512 0.7025 0.2216  3 Li 3.20-3.55, 2 Bi 3.38
2 Bi 0.6178 0.2356 0.4590  3 Li 2.92-3.04, 1 Bi 3.13
3 Li 0.8755 0.7511 0.7758  5 Bi 2.91-3.04, 1 Na 3.20
4 Li 0.1245 0.2489 0.2242  5 Bi 2.91-3.04, 1 Na 3.20
5 Na 0.1488 0.2975 0.7784  3 Li 3.20-3.55, 2 Bi 3.38
6 Bi 0.5000 0.0000 0.0000  4 Li 2.91
7 Bi 0.3822 0.7644 0.5410  3 Li 2.92-3.04, 1 Bi 3.13

Computed properties:
- ΔH_f (0 K) (eV/atom) = -0.31
- SG = C2/m
- density (g/cm3) = 5.8

# 9
An optimized crystal structure of NaLi3Bi2. Source: Alexandria via LeMat-Bulk, functional PBE.

Cell: 5.0912 6.9506 9.2815 Å, 104.29 90.00 111.48°
Closest atoms and distances in Å follow each position.
Atoms (fractional coordinates):
1 Bi 0.3846 0.7691 0.8575  4 Li 2.89-3.04, 2 Na 3.12
2 Li 0.9171 0.8341 0.7106  4 Bi 2.94-3.05, 5 Li 3.16-3.28
3 Li 0.0829 0.1659 0.2894  4 Bi 2.94-3.05, 5 Li 3.16-3.28
4 Li 0.4338 0.8676 0.2679  3 Bi 2.89-2.94, 4 Li 3.03-3.23
5 Na 0.1544 0.3088 0.9699  4 Bi 3.12-3.41, 4 Li 3.33-3.36, 2 Na 3.49
6 Bi 0.6154 0.2309 0.1425  4 Li 2.89-3.04, 2 Na 3.12
7 Bi 0.1257 0.2515 0.6169  7 Li 2.94-3.05, 1 Na 3.20
8 Bi 0.8743 0.7485 0.3831  7 Li 2.94-3.05, 1 Na 3.20
9 Na 0.8456 0.6912 0.0301  4 Bi 3.12-3.41, 4 Li 3.33-3.36, 2 Na 3.49
10 Li 0.6756 0.3512 0.4817  4 Bi 2.95-3.04, 7 Li 3.03-3.28
11 Li 0.3244 0.6488 0.5183  4 Bi 2.95-3.04, 7 Li 3.03-3.28
12 Li 0.5662 0.1324 0.7321  3 Bi 2.89-2.94, 4 Li 3.03-3.23

Computed properties:
- ΔH_f (0 K) (eV/atom) = -0.40
- SG = C2/m
- density (g/cm3) = 5.2

# 10
An optimized crystal structure of NaLi4Bi. Source: Alexandria via LeMat-Bulk, functional PBE.

Cell: 8.2506 8.2506 8.2506 Å, 106.14 106.14 116.35°
Closest atoms and distances in Å follow each position.
Atoms (fractional coordinates):
1 Li 0.1836 0.4352 0.7484  2 Bi 2.68-2.74
2 Li 0.1852 0.9368 0.7516  2 Bi 2.68-2.74
3 Li 0.2126 0.0541 0.1585  1 Bi 2.81, 3 Li 3.14
4 Li 0.8041 0.1455 0.3415  1 Bi 2.81, 3 Li 3.14
5 Bi 0.0721 0.5721 0.5000  6 Li 2.68-2.81
6 Li 0.8955 0.0541 0.8415  1 Bi 2.81, 3 Li 3.14
7 Li 0.6868 0.4352 0.2516  2 Bi 2.68-2.74
8 Bi 0.3221 0.3221 0.0000  6 Li 2.68-2.81
9 Li 0.1852 0.4336 0.2484  2 Bi 2.68-2.74
10 Na 0.4493 0.9493 0.5000  1 Bi 3.28, 6 Li 3.39-3.51
11 Li 0.8041 0.4626 0.6585  1 Bi 2.81, 3 Li 3.14
12 Na 0.6993 0.6993 0.0000  1 Bi 3.28, 6 Li 3.39-3.51

Computed properties:
- ΔH_f (0 K) (eV/atom) = -0.04
- SG = I4_1md
- density (g/cm3) = 2.0

# 11
An optimized crystal structure of Na3Li4Bi4. Source: Alexandria via LeMat-Bulk, functional PBE.

Cell: 5.3058 6.7669 9.7442 Å, 110.32 105.80 90.00°
Closest atoms and distances in Å follow each position.
Atoms (fractional coordinates):
1 Bi 0.6534 0.8852 0.3068  1 Li 2.71
2 Na 0.0000 0.5000 0.0000  6 Li 3.28-3.53
3 Na 0.1631 0.1631 0.3263  6 Bi 3.22-3.57, 4 Li 3.45-3.55
4 Bi 0.3466 0.1148 0.6932  1 Li 2.71
5 Li 0.2016 0.7016 0.4033  6 Bi 3.12-3.20, 2 Na 3.45
6 Li 0.5000 0.2138 0.0000  2 Bi 2.71, 1 Li 2.89
7 Bi 0.6534 0.4216 0.3068  1 Li 2.71
8 Na 0.8369 0.8369 0.6737  6 Bi 3.22-3.57, 4 Li 3.45-3.55
9 Li 0.5000 0.7862 0.0000  2 Bi 2.71, 1 Li 2.89
10 Bi 0.3466 0.5784 0.6932  1 Li 2.71
11 Li 0.7984 0.2984 0.5967  6 Bi 3.12-3.20, 2 Na 3.45

Computed properties:
- ΔH_f (0 K) (eV/atom) = -0.24
- SG = Immm
- density (g/cm3) = 4.9

# 12
An optimized crystal structure of NaLi5Bi6. Source: Alexandria via LeMat-Bulk, functional PBE.

Cell: 4.6918 8.7118 7.6739 Å, 90.00 72.28 90.00°
Closest atoms and distances in Å follow each position.
Atoms (fractional coordinates):
1 Bi 0.5000 0.7378 0.0000  6 Li 3.13-3.39, 2 Na 3.27, 4 Bi 3.40
2 Li 0.3286 0.0000 0.3427  8 Bi 3.25-3.39, 2 Li 3.28-3.29, 2 Na 3.43
3 Li 0.3316 0.5000 0.3366  8 Bi 3.16-3.22, 4 Li 3.35-3.40
4 Bi 0.8318 0.7425 0.3365  7 Li 3.16-3.25, 1 Na 3.33, 4 Bi 3.35-3.40
5 Bi 0.1682 0.2575 0.6635  7 Li 3.16-3.25, 1 Na 3.33, 4 Bi 3.35-3.40
6 Bi 0.8317 0.2575 0.3365  7 Li 3.16-3.25, 1 Na 3.33, 4 Bi 3.35-3.40
7 Bi 0.1683 0.7425 0.6635  7 Li 3.16-3.25, 1 Na 3.33, 4 Bi 3.35-3.40
8 Li 0.6684 0.5000 0.6634  8 Bi 3.16-3.22, 4 Li 3.35-3.40
9 Li 0.6714 0.0000 0.6573  8 Bi 3.25-3.39, 2 Li 3.28-3.29, 2 Na 3.43
10 Li 0.0000 0.5000 0.0000  8 Bi 3.13-3.24, 4 Li 3.40
11 Bi 0.5000 0.2622 0.0000  6 Li 3.13-3.39, 2 Na 3.27, 4 Bi 3.40
12 Na 0.0000 0.0000 0.0000  8 Bi 3.27-3.33, 4 Li 3.43

Computed properties:
- ΔH_f (0 K) (eV/atom) = -0.36
- SG = P2/m
- density (g/cm3) = 7.3

DFT total energy list, top to bottom, in eV per atom: -2.125 -2.938 -2.972 -2.948 -2.597 -2.672 -3.148 -2.901 -2.869 -2.187 -2.709 -3.211